VASP calculation (GGA-PBE) on GaNiAu after structural relaxation.

For the formation energy, the calculation gives -0.14 eV per atom. As for the total magnetization: 0.0 μB per formula unit. The density of states at the Fermi level is 0.398 states/eV/atom. The crystal system is trigonal.

Lattice parameters (Å, degrees): 3.005 4.139 4.139 120.00 90.00 90.00
Fractional positions:
Ga 0.533 0.667 0.333
Au 0.991 0.000 0.000
Ni 0.476 0.333 0.667